# IrOs2Pt, optimized geometry, DFT PBEsol
# Electronic total energy ... -40.9 eV per cell
# Crystal system ... orthorhombic
# E above lowest polymorph ... 24 meV per atom
data_IrOs2Pt
_chemical_formula_sum 'Ir1 Os2 Pt1'
_space_group_name_H-M_alt 'P m m 2'
_space_group_IT_number 25
_space_group_name_Hall 'P 2 -2'
_cell_length_a 2.714
_cell_length_b 3.836
_cell_length_c 5.455
_cell_angle_alpha 90.00
_cell_angle_beta 90.00
_cell_angle_gamma 90.00
loop_
_atom_site_label
_atom_site_fract_x
_atom_site_fract_y
_atom_site_fract_z
Ir1 0.000 0.000 0.000
Os1 0.000 0.000 0.484
Os2 0.500 0.500 0.249
Pt1 0.500 0.500 0.743